# 1
4
Lattice="4.4780 0.0000 0.0000 2.2390 3.8781 0.0000 2.2390 1.2927 3.6563" Properties=species:S:1:pos:R:3 comment="Ga3Pt, relaxed, DFT PBEsol" energy_ev_per_atom=-4.4175 pbc="T T T"
Ga 2.2390 1.2927 0.9141
Ga 6.7170 3.8781 2.7422
Ga 4.4780 2.5854 1.8281
Pt 0.0000 0.0000 0.0000

=====

# 2
8
Lattice="-2.7436 4.7284 -0.1485 -2.2247 -4.5237 -2.2398 -4.2733 -2.4035 2.4226" Properties=species:S:1:pos:R:3 comment="GaPt3, relaxed, DFT PBEsol" energy_ev_per_atom=-6.5235 pbc="T T T"
Ga -6.3751 -0.5182 0.5856
Ga -2.8666 -1.6806 -0.5514
Pt -4.2384 0.6836 -0.6256
Pt -5.0033 -2.8824 0.6599
Pt -3.6215 -0.7098 1.6925
Pt -3.3955 3.0347 0.5816
Pt -5.3214 1.4698 1.8043
Pt -1.6955 0.8551 0.4698

=====

# 3
4
Lattice="-2.0483 -1.0093 -3.1441 -2.9388 -1.1300 2.2774 -1.5058 3.5783 -0.1677" Properties=species:S:1:pos:R:3 comment="GaPt3, relaxed, DFT PBEsol" energy_ev_per_atom=-6.5117 pbc="T T T"
Pt -2.2223 1.2242 1.0548
Pt -1.7771 1.2845 -1.6559
Pt -2.4936 -1.0697 -0.4334
Ga 0.0000 0.0000 0.0000

=====

| no. | formation energy from the elements (meV per atom) |
| --- | --- |
| 1 | -172 |
| 2 | -466 |
| 3 | -454 |